[1]
KSrP2 | GGA-PBEsol | relaxed

Cell: 3.933 4.135 6.728 Å, 90.00 90.27 90.00°
Element x y z (fractional)
1 K 0.000 0.000 0.000
2 Sr 0.000 0.000 0.500
3 P 0.499 0.500 0.337
4 P 0.501 0.500 0.663

Values from the calculation:
- space group = P2/m
- offset from the most stable computed form (meV per atom) = 0


[2]
KSr4P | GGA-PBEsol | relaxed

Cell: 7.298 7.298 7.298 Å, 60.00 60.00 60.00°
Element x y z (fractional)
1 K 0.000 0.000 0.000
2 Sr 0.129 0.624 0.624
3 Sr 0.624 0.129 0.624
4 Sr 0.624 0.624 0.129
5 Sr 0.624 0.624 0.624
6 P 0.250 0.250 0.250

Values from the calculation:
- space group = F-43m


[3]
KTaP4 | GGA-PBEsol | relaxed

Cell: 5.191 5.191 5.191 Å, 60.00 60.00 60.00°
Element x y z (fractional)
1 K 0.000 0.000 0.000
2 Ta 0.250 0.250 0.250
3 P 0.143 0.619 0.619
4 P 0.619 0.143 0.619
5 P 0.619 0.619 0.143
6 P 0.619 0.619 0.619

Values from the calculation:
- space group = F-43m


[4]
KTaP2 | GGA-PBEsol | relaxed

Cell: 7.071 7.071 7.071 Å, 121.88 121.88 86.77°
Element x y z (fractional)
1 K 0.000 0.000 0.000
2 K 0.750 0.250 0.500
3 Ta 0.250 0.750 0.500
4 Ta 0.500 0.500 0.000
5 P 0.234 0.125 0.609
6 P 0.375 0.766 0.891
7 P 0.516 0.625 0.391
8 P 0.875 0.484 0.109

Values from the calculation:
- space group = I-42d
- offset from the most stable computed form (meV per atom) = 0


no.,DFT formation energy (eV/atom),raw total energy (eV for the cell shown)
1,-0.65,-17.1
2,0.49,-11.4
3,0.61,-33.2
4,-0.19,-52.1